{
  "formula": "Be2Tl2VO6",
  "functional": "PBE+U",
  "state": "relaxed",
  "cell": [[5.345, 0.000, 0.000], [2.672, 4.629, 0.000], [2.672, 1.543, 5.502]],
  "species": ["Be", "Be", "Tl", "Tl", "V", "O", "O", "O", "O", "O", "O"],
  "frac_coords": [[0.400, 0.400, 0.801], [0.600, 0.600, 0.199], [0.786, 0.786, 0.641], [0.214, 0.214, 0.359], [0.000, 0.000, 0.000], [0.765, 0.765, 0.206], [0.264, 0.765, 0.206], [0.765, 0.264, 0.206], [0.235, 0.736, 0.794], [0.736, 0.235, 0.794], [0.235, 0.235, 0.794]],
  "e_tot_ev_per_atom": -6.088
}